(1)
DFT (GGA-PBE) results for a relaxed LaAlP2 crystal.

Unit cell a=4.7606 b=3.9896 c=4.7733 alpha=90.00 beta=90.00 gamma=90.00
Last column: nearest neighbours and their distance in Å.
Element x y z (fractional)
P  0.5000  0.2499  0.3564  2 Al 2.39
P  0.0000  0.2499  0.8884  2 Al 2.37-2.40
Al  0.0000  0.2504  0.3921  4 P 2.37-2.40
La  0.5000  0.7498  0.8630  8 P 3.09-3.14

Results
Crystal system   orthorhombic
E_form   -0.739 eV per atom
Total magnetic moment   0.000 μB per atom
Density   4.2 g cm⁻³
Space-group type   No. 25
Density of states at the Fermi level   1.51 states/eV/cell

---

(2)
DFT (GGA-PBE) results for a relaxed TbThZn crystal.

Unit cell a=3.6683 b=5.0553 c=5.0553 alpha=120.00 beta=90.00 gamma=90.00
Last column: nearest neighbours and their distance in Å.
Element x y z (fractional)
Zn  0.4090  0.3333  0.6667  3 Tb 2.97, 3 Th 3.24
Tb  0.5655  0.6667  0.3333  3 Zn 2.97
Th  0.0255  0.0000  0.0000  3 Zn 3.24, 6 Tb 3.37-3.53

Results
Crystal system   trigonal
E_form   0.045 eV per atom
Energy above the lowest structure with this stoichiometry   54 kJ/mol of formula units
Total magnetic moment   0.000 μB per atom
Density   9.3 g cm⁻³
Space-group type   No. 156
Density of states at the Fermi level   2.13 states/eV/cell

---

(3)
DFT (GGA-PBE) results for a relaxed Pr3GaPd crystal.

Unit cell a=4.6804 b=7.0102 c=8.9759 alpha=103.83 beta=90.00 gamma=90.00
Last column: nearest neighbours and their distance in Å.
Element x y z (fractional)
Pr  0.5431  0.0070  0.7584  1 Pd 2.99, 2 Ga 3.03
Pr  0.5432  0.6048  0.4347  3 Pd 2.94-3.12, 2 Ga 3.24
Pd  0.0432  0.3665  0.2477  2 Ga 2.62-2.68
Pr  0.5431  0.0179  0.1803  4 Ga 3.13-3.16, 2 Pd 3.33
Pr  0.5431  0.4647  0.0453  3 Pd 3.14, 4 Ga 3.26-3.30, 1 Pr 3.40
Pr  0.0431  0.1629  0.4997  3 Pd 2.95-3.12, 1 Ga 3.30
Ga  0.0430  0.1224  0.9763  1 Pd 2.62
Pr  0.0431  0.6502  0.8133  2 Pd 2.98, 1 Ga 3.28
Ga  0.0431  0.7450  0.2348  1 Pd 2.68
Pd  0.5431  0.4018  0.6864  7 Pr 2.94-3.14

Results
Crystal system   monoclinic
E_form   -0.459 eV per atom
Total magnetic moment   0.000 μB per atom
Density   7.0 g cm⁻³
Space-group type   No. 6
Density of states at the Fermi level   10.19 states/eV/cell

---

(4)
DFT (GGA-PBE) results for a relaxed DyErRuRh crystal.

Unit cell a=3.3898 b=4.8011 c=4.8066 alpha=90.00 beta=90.00 gamma=90.00
Last column: nearest neighbours and their distance in Å.
Element x y z (fractional)
Ru  0.0000  0.0000  0.0000  4 Dy 2.94, 4 Er 2.94
Rh  0.0000  0.5000  0.5000  4 Er 2.94, 4 Dy 2.94
Er  0.5000  0.0000  0.5000  4 Rh 2.94, 4 Ru 2.94
Dy  0.5000  0.5000  0.0000  4 Ru 2.94, 4 Rh 2.94

Results
Crystal system   orthorhombic
E_form   -0.657 eV per atom
Energy above the lowest structure with this stoichiometry   1 kJ/mol of formula units
Total magnetic moment   0.000 μB per atom
Density   11.3 g cm⁻³
Space-group type   No. 47
Density of states at the Fermi level   1.25 states/eV/cell

---

(5)
DFT (GGA-PBE) results for a relaxed Rb2Mg crystal.

Unit cell a=7.7926 b=7.7926 c=10.9965 alpha=78.44 beta=78.44 gamma=36.93
Last column: nearest neighbours and their distance in Å.
Element x y z (fractional)
Rb  0.8968  0.8968  0.0132  2 Mg 3.96
Rb  0.5857  0.5857  0.2809  2 Mg 4.21, 3 Rb 4.26-4.60
Mg  0.9880  0.9880  0.5910  2 Mg 3.04
Rb  0.6646  0.6646  0.7778  5 Mg 4.03-4.40
Rb  0.2964  0.2964  0.4398  1 Mg 3.84, 1 Rb 4.26
Mg  0.4018  0.4018  0.7307  2 Mg 3.04

Results
Crystal system   monoclinic
E_form   0.169 eV per atom
Energy above the lowest structure with this stoichiometry   3 kJ/mol of formula units
Total magnetic moment   0.000 μB per atom
Density   1.7 g cm⁻³
Space-group type   No. 8
Density of states at the Fermi level   3.85 states/eV/cell

---

(6)
DFT (GGA-PBE) results for a relaxed TlTeAs2 crystal.

Unit cell a=5.5113 b=5.3497 c=6.8569 alpha=128.32 beta=128.45 gamma=67.32
Last column: nearest neighbours and their distance in Å.
Element x y z (fractional)
Tl  0.6326  0.3752  0.5036  4 As 3.04-3.07
Te  0.5562  0.3748  0.9654  2 As 2.71
As  0.1555  0.8901  0.5964  1 As 2.42, 1 Te 2.71
As  0.1557  0.8599  0.9346  1 As 2.42, 1 Te 2.71

Results
E_form (uncorrected)   25 meV/atom
Crystal system   monoclinic
Energy above the lowest structure with this stoichiometry   4 kJ/mol of formula units
Total magnetic moment   0.000 μB per atom
Density   6.4 g cm⁻³
Space-group type   No. 5
Density of states at the Fermi level   1.68 states/eV/cell

---

Number 1: total DFT energy (no corrections) -22.44 eV for the cell shown. Number 2: total DFT energy (no corrections) -13.19 eV for the cell shown. Number 3: total DFT energy (no corrections) -49.71 eV for the cell shown. Number 4: total DFT energy (no corrections) -28.42 eV for the cell shown. Number 5: total DFT energy (no corrections) -6.05 eV for the cell shown. Number 6: total DFT energy (no corrections) -14.71 eV for the cell shown.